# 1
Material: KSb2I7
Method: DFT, PBE
State: optimized geometry

a = 10.1137 Å, b = 15.5495 Å, c = 5.9406 Å
α = 90.00°, β = 90.00°, γ = 90.00°
Space group Cmmm (No. 65)
Symmetry-distinct sites (fractional):
K 0.0000 0.0000 0.0000
Sb 0.0000 0.2681 0.5000
I 0.0000 0.3036 0.0000
I 0.0000 0.5000 0.5000
I 0.1924 0.1294 0.5000

- formation energy without anion corrections (eV/atom) = -0.4541
- N(E_F) (states/eV/cell) = 0.7
- uncorrected energy (hartree per atom) = -0.0909
- total magnetization (μB per formula unit) = 0.00
- mass density (g/cm3) = 4.163

---

# 2
Material: KSb2I6
Method: DFT, PBE
State: optimized geometry

a = 15.5419 Å, b = 13.6211 Å, c = 12.3745 Å
α = 90.00°, β = 124.51°, γ = 90.00°
Space group C2/c (No. 15)
Symmetry-distinct sites (fractional):
K 0.0000 0.0712 0.2500
Sb 0.1297 0.4509 0.2131
I 0.1207 0.4744 0.4624
I 0.1231 0.2511 0.1586
I 0.1419 0.0408 0.6181

- formation energy without anion corrections (eV/atom) = -0.4863
- N(E_F) (states/eV/cell) = 2.5
- uncorrected energy (hartree per atom) = -0.0940
- total magnetization (μB per formula unit) = 0.00
- mass density (g/cm3) = 3.213

---

# 3
Material: K2SbI5
Method: DFT, PBE
State: optimized geometry

a = 8.8245 Å, b = 8.8245 Å, c = 10.1538 Å
α = 90.00°, β = 90.00°, γ = 90.00°
Space group I4mm (No. 107)
Symmetry-distinct sites (fractional):
K 0.0000 0.5000 0.0000
Sb 0.0000 0.0000 0.2380
I 0.0000 0.0000 0.5088
I 0.2432 0.2432 0.2309

- formation energy without anion corrections (eV/atom) = -0.8566
- N(E_F) (states/eV/cell) = 0.0
- uncorrected energy (hartree per atom) = -0.0961
- total magnetization (μB per formula unit) = 0.00
- mass density (g/cm3) = 3.505

---

# 4
Material: K3SbI
Method: DFT, PBE
State: optimized geometry

a = 6.6572 Å, b = 6.6572 Å, c = 6.6572 Å
α = 90.00°, β = 90.00°, γ = 90.00°
Space group Pm-3m (No. 221)
Symmetry-distinct sites (fractional):
K 0.0000 0.0000 0.5000
Sb 0.0000 0.0000 0.0000
I 0.5000 0.5000 0.5000

- formation energy without anion corrections (eV/atom) = -0.5493
- N(E_F) (states/eV/cell) = 3.7
- uncorrected energy (hartree per atom) = -0.0861
- total magnetization (μB per formula unit) = 1.00
- mass density (g/cm3) = 2.060

---

# 5
Material: KSb2SeI
Method: DFT, PBE
State: optimized geometry

a = 5.3407 Å, b = 5.3407 Å, c = 8.7676 Å
α = 90.00°, β = 90.00°, γ = 90.00°
Space group P4/mmm (No. 123)
Symmetry-distinct sites (fractional):
K 0.0000 0.0000 0.0000
Sb 0.0000 0.5000 0.5000
Se 0.5000 0.5000 0.5000
I 0.5000 0.5000 0.0000

- formation energy without anion corrections (eV/atom) = -0.0102
- N(E_F) (states/eV/cell) = 3.6
- uncorrected energy (hartree per atom) = -0.1060
- total magnetization (μB per formula unit) = 0.00
- mass density (g/cm3) = 3.243

---

# 6
Material: KSb2SeI
Method: DFT, PBE
State: optimized geometry

a = 6.1665 Å, b = 6.1665 Å, c = 5.8425 Å
α = 90.00°, β = 90.00°, γ = 90.00°
Space group P4/mmm (No. 123)
Symmetry-distinct sites (fractional):
K 0.0000 0.0000 0.0000
Sb 0.0000 0.5000 0.0000
Se 0.5000 0.5000 0.5000
I 0.0000 0.0000 0.5000

- formation energy without anion corrections (eV/atom) = 1.1211
- N(E_F) (states/eV/cell) = 9.4
- uncorrected energy (hartree per atom) = -0.0645
- total magnetization (μB per formula unit) = 1.11
- mass density (g/cm3) = 3.651

---

# 7
Material: KSnSbI2
Method: DFT, PBE
State: optimized geometry

a = 6.2803 Å, b = 6.2803 Å, c = 5.9393 Å
α = 90.00°, β = 90.00°, γ = 90.00°
Space group P4/mmm (No. 123)
Symmetry-distinct sites (fractional):
K 0.0000 0.0000 0.0000
Sn 0.5000 0.5000 0.5000
Sb 0.5000 0.5000 0.0000
I 0.0000 0.5000 0.5000

- formation energy without anion corrections (eV/atom) = -0.3159
- N(E_F) (states/eV/cell) = 3.0
- uncorrected energy (hartree per atom) = -0.1022
- total magnetization (μB per formula unit) = 1.66
- mass density (g/cm3) = 3.781

---

# 8
Material: KSnSbI2
Method: DFT, PBE
State: optimized geometry

a = 6.2073 Å, b = 6.2073 Å, c = 6.4524 Å
α = 90.00°, β = 90.00°, γ = 90.00°
Space group P4/mmm (No. 123)
Symmetry-distinct sites (fractional):
K 0.0000 0.0000 0.0000
Sn 0.5000 0.5000 0.5000
Sb 0.0000 0.0000 0.5000
I 0.0000 0.5000 0.0000

- formation energy without anion corrections (eV/atom) = 0.3932
- N(E_F) (states/eV/cell) = 3.6
- uncorrected energy (hartree per atom) = -0.0761
- total magnetization (μB per formula unit) = 2.03
- mass density (g/cm3) = 3.562

---

Q: The lowest mass density belongs to which entry?
A: K3SbI

---

Q: N(E_F) of number 6 (KSb2SeI)?
A: 9.4 states/eV/cell

---

Please write out number 6 again, unchanged.
Material: KSb2SeI
Method: DFT, PBE
State: optimized geometry

a = 6.1665 Å, b = 6.1665 Å, c = 5.8425 Å
α = 90.00°, β = 90.00°, γ = 90.00°
Space group P4/mmm (No. 123)
Symmetry-distinct sites (fractional):
K 0.0000 0.0000 0.0000
Sb 0.0000 0.5000 0.0000
Se 0.5000 0.5000 0.5000
I 0.0000 0.0000 0.5000

- formation energy without anion corrections (eV/atom) = 1.1211
- N(E_F) (states/eV/cell) = 9.4
- uncorrected energy (hartree per atom) = -0.0645
- total magnetization (μB per formula unit) = 1.11
- mass density (g/cm3) = 3.651

---

Q: Among the records above, which one has the highest N(E_F)?
A: number 6